Density functional theory data (PBE) for an optimized crystal structure of Dy2GaCo12B3.

POSCAR file:
```
Dy2GaCo12B3
1.0
6.807 -0.059 -0.042
3.311 5.948 -0.042
3.311 1.927 5.628
Co Dy B Ga
12 2 3 1
direct
0.261 0.261 0.883
0.156 0.156 0.532
0.468 0.844 0.844
0.261 0.883 0.261
0.883 0.261 0.261
0.117 0.739 0.739
0.844 0.468 0.844
0.156 0.532 0.156
0.739 0.117 0.739
0.532 0.156 0.156
0.844 0.844 0.468
0.739 0.739 0.117
0.411 0.411 0.411
0.589 0.589 0.589
0.000 0.000 0.500
0.000 0.500 0.000
0.500 0.000 0.000
0.000 0.000 0.000
```

Computed properties:
- Calculated volume: 12.78 A^3/atom
- Space group: R-3m (166)
- DOS(E_F): 23.03 states/eV/cell
- Calculated formation energy: 165 meV/atom

***

Density functional theory data (PBE) for an optimized crystal structure of BaCd3Sb3.

POSCAR file:
```
BaCd3Sb3
1.0
8.201 0.000 0.000
4.101 7.103 0.000
4.101 2.368 8.317
Cd Sb Ba
6 6 2
direct
0.473 0.781 0.621
0.875 0.527 0.379
0.219 0.875 0.379
0.781 0.125 0.621
0.527 0.219 0.379
0.125 0.473 0.621
0.592 0.913 0.261
0.766 0.408 0.739
0.087 0.766 0.739
0.913 0.234 0.261
0.234 0.592 0.261
0.408 0.087 0.739
0.333 0.333 0.000
0.667 0.667 0.000
```

Computed properties:
- Calculated volume: 34.61 A^3/atom
- Space group: R-3 (148)
- ΔE_f (raw): -0.326 eV/atom
- DOS(E_F): 6.79 states/eV/cell

***

Density functional theory data (PBE) for an optimized crystal structure of Be2CdTe.

POSCAR file:
```
Be2CdTe
1.0
0.000 3.296 3.296
3.296 0.000 3.296
3.296 3.296 0.000
Be Te Cd
2 1 1
direct
0.250 0.250 0.250
0.750 0.750 0.750
0.500 0.500 0.500
0.000 0.000 0.000
```

Computed properties:
- Calculated volume: 17.91 A^3/atom
- Space group: Fm-3m (225)
- ΔE_f (raw): 0.802 eV/atom
- DOS(E_F): 2.46 states/eV/cell